Compound: TlIr
Source: the Alexandria database
Functional: PBE
Structure: optimized geometry

a b c (Å): 9.852 2.926 9.531
angles (deg): 90.00 104.83 90.00
Fractional positions:
Tl 0.000 0.000 0.000
Tl 0.130 0.500 0.461
Tl 0.314 0.000 0.234
Tl 0.500 0.500 0.000
Tl 0.630 0.000 0.461
Tl 0.814 0.500 0.234
Ir 0.100 0.500 0.767
Ir 0.316 0.000 0.753
Ir 0.420 0.500 0.568
Ir 0.600 0.000 0.767
Ir 0.816 0.500 0.753
Ir 0.920 0.000 0.568

Values from the calculation:
- volume (Å³/atom) = 22.13
- total DFT energy (no corrections) (eV for the cell shown) = -62.32